Entry 1:
First-principles (PBE-GGA) data for a geometry-optimized LaPmPa2N4 structure, as listed in the Alexandria database. Values from VASP.

Output
The symmetry is I-4m2, No. 119. The uncorrected formation energy comes out at -1.51 eV per atom. The total energy is -74.052 eV per formula unit.

The structure in Quantum ESPRESSO input format:
```
&SYSTEM
  ibrav = 0, nat = 8, ntyp = 4
/
ATOMIC_SPECIES
La 138.91 La.upf
Pm 145.00 Pm.upf
Pa 231.04 Pa.upf
N 14.01 N.upf
CELL_PARAMETERS angstrom
-2.550 2.550 5.003
2.550 -2.550 5.003
2.550 2.550 -5.003
ATOMIC_POSITIONS angstrom
La 0.000 0.000 0.000
Pm 2.550 0.000 2.502
Pa 0.000 0.000 5.003
Pa 0.000 2.550 2.502
N 0.000 0.000 2.705
N 0.000 2.550 0.181
N 0.000 0.000 7.301
N 0.000 2.550 4.822
```

***

Entry 2:
First-principles (PBE-GGA) data for a geometry-optimized La3PmPa2N6 structure, as listed in the Alexandria database. Values from VASP.

Output
The symmetry is C2/m, No. 12. The uncorrected formation energy comes out at -1.55 eV per atom. The total energy is -107.037 eV per formula unit.

The structure in Quantum ESPRESSO input format:
```
&SYSTEM
  ibrav = 0, nat = 12, ntyp = 4
/
ATOMIC_SPECIES
La 138.91 La.upf
Pm 145.00 Pm.upf
Pa 231.04 Pa.upf
N 14.01 N.upf
CELL_PARAMETERS angstrom
3.125 -5.412 0.000
3.125 5.412 0.000
-2.082 0.000 6.005
ATOMIC_POSITIONS angstrom
La 0.000 0.000 0.000
La 3.125 1.789 0.000
La 3.125 -1.789 0.000
Pm 2.083 0.000 3.002
Pa 2.083 3.607 3.002
Pa 2.083 -3.607 3.002
N 0.971 1.925 1.728
N -0.141 0.000 4.258
N 0.971 -1.925 1.728
N 3.196 1.925 4.277
N 4.308 0.000 1.746
N 3.196 -1.925 4.277
```

***

Entry 3:
First-principles (PBE-GGA) data for a geometry-optimized LaPm3Pa2N6 structure, as listed in the Alexandria database. Values from VASP.

Output
The symmetry is C2/m, No. 12. The uncorrected formation energy comes out at -1.54 eV per atom. The total energy is -106.588 eV per formula unit.

The structure in Quantum ESPRESSO input format:
```
&SYSTEM
  ibrav = 0, nat = 12, ntyp = 4
/
ATOMIC_SPECIES
La 138.91 La.upf
Pm 145.00 Pm.upf
Pa 231.04 Pa.upf
N 14.01 N.upf
CELL_PARAMETERS angstrom
7.822 -1.798 0.000
7.822 1.798 0.000
-1.609 0.000 7.011
ATOMIC_POSITIONS angstrom
La 0.000 0.000 0.000
Pm -0.805 0.000 3.506
Pm 4.940 0.000 1.144
Pm 9.096 0.000 5.868
Pa 4.136 0.000 4.683
Pa 9.900 0.000 2.328
N 2.466 0.000 0.785
N 1.792 0.000 3.953
N 6.378 0.000 5.146
N 7.657 0.000 1.865
N 12.244 0.000 3.059
N 11.570 0.000 6.226
```

***

Entry 4:
First-principles (PBE-GGA) data for a geometry-optimized La2PmPaN4 structure, as listed in the Alexandria database. Values from VASP.

Output
The symmetry is P2/m, No. 10. The uncorrected formation energy comes out at -1.50 eV per atom. The total energy is -69.435 eV per formula unit.

The structure in Quantum ESPRESSO input format:
```
&SYSTEM
  ibrav = 0, nat = 8, ntyp = 4
/
ATOMIC_SPECIES
La 138.91 La.upf
Pm 145.00 Pm.upf
Pa 231.04 Pa.upf
N 14.01 N.upf
CELL_PARAMETERS angstrom
6.250 0.000 0.000
0.000 3.635 0.000
-2.072 0.000 6.010
ATOMIC_POSITIONS angstrom
La 0.000 0.000 0.000
La 3.125 1.817 0.000
Pm -1.036 1.817 3.005
Pa 2.089 0.000 3.005
N 0.166 0.000 4.338
N 1.153 1.817 1.719
N 3.025 1.817 4.292
N 4.012 0.000 1.673
```

***

Entry 5:
First-principles (PBE-GGA) data for a geometry-optimized La3Pm2PaN6 structure, as listed in the Alexandria database. Values from VASP.

Output
The symmetry is C2/m, No. 12. The uncorrected formation energy comes out at -1.49 eV per atom. The total energy is -101.641 eV per formula unit.

The structure in Quantum ESPRESSO input format:
```
&SYSTEM
  ibrav = 0, nat = 12, ntyp = 4
/
ATOMIC_SPECIES
La 138.91 La.upf
Pm 145.00 Pm.upf
Pa 231.04 Pa.upf
N 14.01 N.upf
CELL_PARAMETERS angstrom
3.154 -5.457 0.000
3.154 5.457 0.000
-2.099 0.000 6.006
ATOMIC_POSITIONS angstrom
La 0.000 0.000 0.000
La 3.154 1.829 0.000
La 3.154 -1.829 0.000
Pm 2.105 3.641 3.003
Pm 2.105 -3.641 3.003
Pa 2.105 0.000 3.003
N 1.133 1.681 1.641
N 0.155 0.000 4.386
N 1.133 -1.681 1.641
N 3.077 1.681 4.365
N 4.055 0.000 1.620
N 3.077 -1.681 4.365
```

***

Entry 6:
First-principles (PBE-GGA) data for a geometry-optimized La2PmPaN5 structure, as listed in the Alexandria database. Values from VASP.

Output
The symmetry is P4/mmm, No. 123. The uncorrected formation energy comes out at -1.14 eV per atom. The total energy is -75.963 eV per formula unit.

The structure in Quantum ESPRESSO input format:
```
&SYSTEM
  ibrav = 0, nat = 9, ntyp = 4
/
ATOMIC_SPECIES
La 138.91 La.upf
Pm 145.00 Pm.upf
Pa 231.04 Pa.upf
N 14.01 N.upf
CELL_PARAMETERS angstrom
4.196 0.000 0.000
0.000 4.196 0.000
0.000 0.000 9.169
ATOMIC_POSITIONS angstrom
La 0.000 0.000 2.098
La 0.000 0.000 7.071
Pm 2.098 2.098 4.584
Pa 2.098 2.098 0.000
N 0.000 0.000 4.584
N 0.000 2.098 0.000
N 2.098 0.000 0.000
N 2.098 2.098 2.305
N 2.098 2.098 6.864
```

***

Entry 7:
First-principles (PBE-GGA) data for a geometry-optimized LaPrPaN3 structure, as listed in the Alexandria database. Values from VASP.

Output
The symmetry is P2_1/m, No. 11. The uncorrected formation energy comes out at -1.19 eV per atom. The total energy is -51.305 eV per formula unit.

The structure in Quantum ESPRESSO input format:
```
&SYSTEM
  ibrav = 0, nat = 12, ntyp = 4
/
ATOMIC_SPECIES
La 138.91 La.upf
Pr 140.91 Pr.upf
Pa 231.04 Pa.upf
N 14.01 N.upf
CELL_PARAMETERS angstrom
6.511 0.000 0.000
0.000 3.514 0.000
-0.101 0.000 10.599
ATOMIC_POSITIONS angstrom
La 1.185 0.878 2.821
La 5.225 2.635 7.779
Pr 2.085 2.635 6.418
Pr 4.325 0.878 4.182
Pa 1.239 0.878 9.767
Pa 5.171 2.635 0.832
N 0.760 0.878 7.725
N 0.965 2.635 0.581
N 2.488 2.635 4.014
N 3.922 0.878 6.586
N 5.445 0.878 10.019
N 5.649 2.635 2.874
```

***

Entry 8:
First-principles (PBE-GGA) data for a geometry-optimized La2PrPaN4 structure, as listed in the Alexandria database. Values from VASP.

Output
The symmetry is P2/m, No. 10. The uncorrected formation energy comes out at -1.47 eV per atom. The total energy is -69.155 eV per formula unit.

The structure in Quantum ESPRESSO input format:
```
&SYSTEM
  ibrav = 0, nat = 8, ntyp = 4
/
ATOMIC_SPECIES
La 138.91 La.upf
Pr 140.91 Pr.upf
Pa 231.04 Pa.upf
N 14.01 N.upf
CELL_PARAMETERS angstrom
6.316 0.000 0.000
0.000 3.654 0.000
-2.084 0.000 6.016
ATOMIC_POSITIONS angstrom
La 0.000 0.000 0.000
La 3.158 1.827 0.000
Pr -1.042 1.827 3.008
Pa 2.116 0.000 3.008
N 0.212 0.000 4.357
N 1.191 1.827 1.708
N 3.040 1.827 4.308
N 4.019 0.000 1.658
```

***

Entry 9:
First-principles (PBE-GGA) data for a geometry-optimized La3PrPa2N6 structure, as listed in the Alexandria database. Values from VASP.

Output
The symmetry is C2/m, No. 12. The uncorrected formation energy comes out at -1.51 eV per atom. The total energy is -106.609 eV per formula unit.

The structure in Quantum ESPRESSO input format:
```
&SYSTEM
  ibrav = 0, nat = 12, ntyp = 4
/
ATOMIC_SPECIES
La 138.91 La.upf
Pr 140.91 Pr.upf
Pa 231.04 Pa.upf
N 14.01 N.upf
CELL_PARAMETERS angstrom
7.966 -1.817 0.000
7.966 1.817 0.000
-1.785 0.000 7.102
ATOMIC_POSITIONS angstrom
La 0.000 0.000 0.000
La 4.116 0.000 4.710
La 10.031 0.000 2.392
Pr -0.893 0.000 3.551
Pa 5.004 0.000 1.205
Pa 9.143 0.000 5.897
N 1.547 0.000 4.392
N 2.713 0.000 0.380
N 7.231 0.000 1.704
N 6.916 0.000 5.398
N 11.435 0.000 6.722
N 12.600 0.000 2.710
```

***

Entry 10:
First-principles (PBE-GGA) data for a geometry-optimized La3Pr2PaN6 structure, as listed in the Alexandria database. Values from VASP.

Output
The symmetry is C2/m, No. 12. The uncorrected formation energy comes out at -1.45 eV per atom. The total energy is -101.178 eV per formula unit.

The structure in Quantum ESPRESSO input format:
```
&SYSTEM
  ibrav = 0, nat = 12, ntyp = 4
/
ATOMIC_SPECIES
La 138.91 La.upf
Pr 140.91 Pr.upf
Pa 231.04 Pa.upf
N 14.01 N.upf
CELL_PARAMETERS angstrom
3.184 -5.509 0.000
3.184 5.509 0.000
-2.119 0.000 6.022
ATOMIC_POSITIONS angstrom
La 0.000 0.000 0.000
La 3.184 1.833 0.000
La 3.184 -1.833 0.000
Pr 2.124 3.674 3.011
Pr 2.124 -3.674 3.011
Pa 2.124 0.000 3.011
N 1.160 1.667 1.629
N 0.184 0.000 4.421
N 1.160 -1.667 1.629
N 3.089 1.667 4.393
N 4.064 0.000 1.600
N 3.089 -1.667 4.393
```